An optimized crystal structure of LiLa4Ta. Source: the Alexandria database, functional PBE-GGA.

Summary:
* total DFT energy (no corrections): -4.76 eV/atom
* space group: No. 216
* formation energy: 0.82 eV/atom

abc: 6.4370 6.4370 6.4370
angles: 60.00 60.00 60.00
Last column: magnetic moment on the atom in μB.
Fractional coordinates of all 6 atoms:
Li 0.7500 0.7500 0.7500  0.00
La 0.8821 0.3726 0.3726  -0.03
La 0.3726 0.3726 0.8821  -0.03
La 0.3726 0.8821 0.3726  -0.03
La 0.3726 0.3726 0.3726  -0.03
Ta 0.0000 0.0000 0.0000  1.25